First-principles (PBE) data for a relaxed SbW2 crystal, as listed in Alexandria.

It has space group Pnnm (No. 58), with a = 2.9317 Å, b = 8.0331 Å, c = 4.5388 Å, α = 90.00°, β = 90.00° and γ = 90.00°. The asymmetric unit holds Sb at (0.0000, 0.0000, 0.0000) and W at (0.1361, 0.3384, 0.0000).


First-principles (PBE) data for a relaxed Sb3W crystal, as listed in Alexandria.

It has space group Imm2 (No. 44), with a = 3.6126 Å, b = 8.8985 Å, c = 5.9146 Å, α = 90.00°, β = 90.00° and γ = 90.00°. The asymmetric unit holds Sb at (0.0000, 0.0000, 0.0000), Sb at (0.0000, 0.1899, 0.6054) and W at (0.0000, 0.5000, 0.8435).


Taking the records one at a time from the top gives offset from the most stable computed form values of 0.220, 0.120 eV/atom.
Taking the records one at a time from the top gives formation energy from raw total energies values of 15.7, 9.6 kcal/mol of atoms.